(1)
5
Lattice="4.578 0.000 0.000 0.000 4.578 0.000 0.000 0.000 4.578" Properties=species:S:1:pos:R:3 comment="CdNi3S, optimized geometry, DFT GGA-PBEsol" e_form_raw_ev_per_atom=1.596 sg="No. 221" pbc="T T T"
Ni 0.000 2.289 0.000
S 2.289 2.289 2.289
Ni 0.000 0.000 2.289
Cd 0.000 0.000 0.000
Ni 2.289 0.000 0.000

---

(2)
4
Lattice="4.835 0.000 0.000 2.418 4.187 0.000 2.418 1.396 3.948" Properties=species:S:1:pos:R:3 comment="PmMgZn2, optimized geometry, DFT GGA-PBEsol" delta_e_f_ev_per_fu=-1.36 sg="No. 225" pbc="T T T"
Zn 7.253 4.187 2.961
Pm 0.000 0.000 0.000
Zn 2.418 1.396 0.987
Mg 4.835 2.792 1.974

---

(3)
5
Lattice="4.820 0.000 0.000 0.000 4.820 0.000 0.000 0.000 4.820" Properties=species:S:1:pos:R:3 comment="Cd3CuB, optimized geometry, DFT GGA-PBEsol" delta_e_f_ev_per_fu=5.82 sg="No. 221" pbc="T T T"
Cd 2.410 0.000 0.000
B 2.410 2.410 2.410
Cd 0.000 0.000 2.410
Cd 0.000 2.410 0.000
Cu 0.000 0.000 0.000

---

(4)
4
Lattice="2.701 0.000 0.000 0.000 4.305 0.000 0.000 0.000 4.730" Properties=species:S:1:pos:R:3 comment="MoRuRh2, optimized geometry, DFT GGA-PBEsol" delta_e_f_ev_per_fu=-0.68 sg="No. 25" pbc="T T T"
Ru 1.351 0.000 2.569
Rh 0.000 2.153 3.333
Mo 1.351 2.153 1.020
Rh 0.000 0.000 0.173

---

(5)
3
Lattice="2.952 0.000 0.000 0.000 5.242 0.000 0.000 -2.621 4.540" Properties=species:S:1:pos:R:3 comment="La2W, optimized geometry, DFT GGA-PBEsol" delta_e_f_ev_per_fu=1.99 sg="No. 191" pbc="T T T"
W 1.476 0.000 0.000
La 0.000 0.000 3.027
La 0.000 2.621 1.513

---

(6)
4
Lattice="2.538 0.000 0.000 -1.269 4.137 0.000 0.000 -0.743 4.318" Properties=species:S:1:pos:R:3 comment="CrFe2Tc, optimized geometry, DFT GGA-PBEsol" delta_e_f_ev_per_fu=0.47 sg="No. 8" pbc="T T T"
Fe 0.000 1.549 3.263
Cr 1.269 1.839 0.952
Tc 1.269 -0.349 2.228
Fe 1.269 4.119 0.034